# 1
Here is TiRe2W2 after structural relaxation from Alexandria via LeMat-Bulk. Energies are from GGA-PBE.

abc: 12.962 4.410 2.748
angles: 90.00 98.34 90.00
Space group C2/m (No. 12)
Asymmetric unit:
Ti: 0.000 0.000 0.000
Re: 0.100 0.500 0.397
W: 0.199 0.000 0.793

Values from the calculation:
Theoretical density ... 16.84 g/cm³
M_tot ... 0.00 μB per formula unit
Energy ... -11.880 eV per atom
Density of states at the Fermi level ... 6.17 states/eV per cell



# 2
Here is LiMgRh2 after structural relaxation from Alexandria via LeMat-Bulk. Energies are from GGA-PBE.

abc: 2.944 4.655 8.498
angles: 90.00 90.00 90.00
Space group Cmmm (No. 65)
Asymmetric unit:
Li: 0.000 0.000 0.000
Mg: 0.000 0.000 0.500
Rh: 0.000 0.500 0.249

Values from the calculation:
Theoretical density ... 6.76 g/cm³
M_tot ... 0.00 μB per formula unit
Energy ... -4.745 eV per atom
Density of states at the Fermi level ... 7.14 states/eV per cell



# 3
Here is Dy6GaHg5 after structural relaxation from Alexandria via LeMat-Bulk. Energies are from GGA-PBE.

abc: 16.533 7.424 5.221
angles: 90.00 108.30 90.00
Space group C2/m (No. 12)
Asymmetric unit:
Dy: 0.000 0.242 0.000
Dy: 0.164 0.246 0.664
Ga: 0.000 0.000 0.500
Hg: 0.000 0.500 0.500
Hg: 0.166 0.500 0.166
Hg: 0.169 0.000 0.169

Values from the calculation:
Theoretical density ... 11.18 g/cm³
M_tot ... 0.00 μB per formula unit
Energy ... -3.172 eV per atom
Density of states at the Fermi level ... 23.91 states/eV per cell



# 4
Here is Cs2NaSe2 after structural relaxation from Alexandria via LeMat-Bulk. Energies are from GGA-PBE.

abc: 8.434 8.434 5.404
angles: 90.00 90.00 90.00
Space group P4/mbm (No. 127)
Asymmetric unit:
Cs: 0.156 0.344 0.000
Na: 0.000 0.000 0.500
Se: 0.144 0.644 0.500

Values from the calculation:
Theoretical density ... 3.86 g/cm³
M_tot ... 1.00 μB per formula unit
Energy above the most stable polymorph in this dataset ... 19.7 kJ/mol of atoms
Formation energy (no corrections) ... -4.0 eV per formula unit
Density of states at the Fermi level ... 0.00 states/eV per cell